1.
! PBE-GGA La2SnH2, optimized geometry; values from VASP
&SYSTEM
  ibrav = 0, nat = 5, ntyp = 3
/
ATOMIC_SPECIES
H 1.01 H.upf
Sn 118.71 Sn.upf
La 138.91 La.upf
ATOMIC_POSITIONS crystal
H 0.250 0.750 0.500
H 0.750 0.250 0.500
Sn 0.000 0.000 0.000
La 0.350 0.350 0.299
La 0.650 0.650 0.701
CELL_PARAMETERS angstrom
-3.726 2.023 -0.375
0.033 -0.716 -4.196
-4.549 -4.176 -1.482
! **Density**: 6.53 Mg/m³
! **Raw total energy**: -0.178 Ha/atom

***

2.
! PBE-GGA SrLaSnH2, optimized geometry; values from VASP
&SYSTEM
  ibrav = 0, nat = 5, ntyp = 4
/
ATOMIC_SPECIES
La 138.91 La.upf
Sn 118.71 Sn.upf
H 1.01 H.upf
Sr 87.62 Sr.upf
ATOMIC_POSITIONS crystal
La 0.000 0.500 0.000
Sn 0.500 0.500 0.500
H 0.000 0.000 0.500
H 0.500 0.000 0.000
Sr 0.000 0.000 0.000
CELL_PARAMETERS angstrom
-4.081 -0.652 1.865
2.759 -9.375 2.761
1.544 1.616 3.945
! **Density**: 2.76 Mg/m³
! **Raw total energy**: -0.125 Ha/atom

***

3.
! PBE-GGA La2Tb4Sn3H2, optimized geometry; values from VASP
&SYSTEM
  ibrav = 0, nat = 11, ntyp = 4
/
ATOMIC_SPECIES
Sn 118.71 Sn.upf
Tb 158.93 Tb.upf
La 138.91 La.upf
H 1.01 H.upf
ATOMIC_POSITIONS crystal
Sn 0.000 0.000 0.000
Sn 0.170 0.170 0.340
Sn 0.830 0.830 0.660
Tb 0.419 0.919 0.838
La 0.302 0.302 0.604
Tb 0.919 0.419 0.838
H 0.404 0.404 0.807
Tb 0.081 0.581 0.162
H 0.596 0.596 0.193
Tb 0.581 0.081 0.162
La 0.698 0.698 0.396
CELL_PARAMETERS angstrom
-3.492 -0.219 -3.265
1.534 -4.327 -1.350
-6.661 -3.097 10.841
! **Density**: 7.29 Mg/m³
! **Raw total energy**: -0.180 Ha/atom

***

4.
! PBE-GGA La2TiSnH, optimized geometry; values from VASP
&SYSTEM
  ibrav = 0, nat = 5, ntyp = 4
/
ATOMIC_SPECIES
Ti 47.87 Ti.upf
La 138.91 La.upf
Sn 118.71 Sn.upf
H 1.01 H.upf
ATOMIC_POSITIONS crystal
Ti 0.000 0.000 0.500
La 0.000 0.500 0.000
La 0.500 0.000 0.000
Sn 0.500 0.500 0.500
H 0.000 0.000 0.000
CELL_PARAMETERS angstrom
5.144 0.000 0.000
0.000 5.144 0.000
0.000 0.000 4.389
! **Density**: 6.37 Mg/m³
! **Raw total energy**: -0.197 Ha/atom

***

5.
! PBE-GGA LaTiSnH2, optimized geometry; values from VASP
&SYSTEM
  ibrav = 0, nat = 5, ntyp = 4
/
ATOMIC_SPECIES
La 138.91 La.upf
H 1.01 H.upf
Sn 118.71 Sn.upf
Ti 47.87 Ti.upf
ATOMIC_POSITIONS crystal
La 0.000 0.500 0.000
H 0.000 0.000 0.500
H 0.500 0.000 0.000
Sn 0.000 0.000 0.000
Ti 0.500 0.500 0.500
CELL_PARAMETERS angstrom
4.145 0.000 0.000
0.000 6.621 0.000
0.000 0.000 4.145
! **Density**: 4.49 Mg/m³
! **Raw total energy**: -0.140 Ha/atom

***

6.
! PBE-GGA La4TlSnH, optimized geometry; values from VASP
&SYSTEM
  ibrav = 0, nat = 14, ntyp = 4
/
ATOMIC_SPECIES
La 138.91 La.upf
Sn 118.71 Sn.upf
Tl 204.38 Tl.upf
H 1.01 H.upf
ATOMIC_POSITIONS crystal
La 0.432 0.750 0.864
Sn 0.886 0.750 0.772
La 0.500 0.000 0.500
La 0.070 0.750 0.140
Sn 0.114 0.250 0.228
La 0.500 0.500 0.500
Tl 0.387 0.250 0.773
H 0.706 0.250 0.413
La 0.568 0.250 0.136
La 0.930 0.250 0.860
Tl 0.613 0.750 0.227
La 0.000 0.500 0.500
La 0.000 0.000 0.500
H 0.294 0.750 0.587
CELL_PARAMETERS angstrom
6.790 0.000 0.000
0.000 6.774 0.000
-3.395 0.000 8.999
! **Density**: 7.06 Mg/m³
! **Raw total energy**: -0.174 Ha/atom

***

7.
! PBE-GGA La2TlSnH, optimized geometry; values from VASP
&SYSTEM
  ibrav = 0, nat = 5, ntyp = 4
/
ATOMIC_SPECIES
H 1.01 H.upf
Tl 204.38 Tl.upf
Sn 118.71 Sn.upf
La 138.91 La.upf
ATOMIC_POSITIONS crystal
H 0.000 0.000 0.000
Tl 0.000 0.000 0.500
Sn 0.500 0.500 0.500
La 0.500 0.000 0.000
La 0.000 0.500 0.000
CELL_PARAMETERS angstrom
5.032 0.000 0.000
0.000 5.032 0.000
0.000 0.000 4.847
! **Density**: 8.14 Mg/m³
! **Raw total energy**: -0.161 Ha/atom
! **E above lowest polymorph**: 0 meV/atom

***

8.
! PBE-GGA La2ZrSnH, optimized geometry; values from VASP
&SYSTEM
  ibrav = 0, nat = 5, ntyp = 4
/
ATOMIC_SPECIES
Sn 118.71 Sn.upf
La 138.91 La.upf
Zr 91.22 Zr.upf
H 1.01 H.upf
ATOMIC_POSITIONS crystal
Sn 0.500 0.500 0.500
La 0.500 0.000 0.000
Zr 0.000 0.000 0.500
La 0.000 0.500 0.000
H 0.000 0.000 0.000
CELL_PARAMETERS angstrom
-0.879 4.818 0.602
-4.717 -0.993 1.057
1.119 -0.375 4.637
! **Density**: 6.97 Mg/m³
! **Raw total energy**: -0.204 Ha/atom